A relaxed Ir2NF2 crystal. Source: the Alexandria database, functional PBE.

Energy above the most stable polymorph in this dataset: 0 meV per atom
Formation energy without anion corrections: -0.228 eV per atom
DFT total energy: -61.860 eV for the cell shown
Space group: P4/mbm

Lattice parameters (Å, degrees): 5.520 5.520 4.146 90.00 90.00 90.00
Sites, in units of the cell vectors:
Ir  0.205  0.295  0.000
Ir  0.295  0.795  0.000
Ir  0.705  0.205  0.000
Ir  0.795  0.705  0.000
N  0.000  0.000  0.000
N  0.500  0.500  0.000
F  0.178  0.322  0.500
F  0.322  0.822  0.500
F  0.678  0.178  0.500
F  0.822  0.678  0.500